# 1
This record from the Alexandria database describes a relaxed SiGe2C crystal. The functional is PBE.

a = 4.372 Å, b = 4.372 Å, c = 4.372 Å
α = 60.00°, β = 60.00°, γ = 60.00°
Fractional coordinates of all 4 atoms:
C 0.000 0.000 0.000
Ge 0.250 0.250 0.250
Ge 0.750 0.750 0.750
Si 0.500 0.500 0.500

excess energy over the best structure of this formula in the dataset	1042	meV per atom
formation energy (no corrections)	1.447	eV per atom
DOS at the Fermi energy	3.121	states/eV/f.u.
space-group type	No. 225
size of the total moment	0.0	μB per formula unit

---

# 2
This record from the Alexandria database describes a relaxed TlSiGeC2 crystal. The functional is PBE.

a = 3.803 Å, b = 5.893 Å, c = 3.803 Å
α = 90.00°, β = 90.00°, γ = 90.00°
Fractional coordinates of all 5 atoms:
C 0.500 0.000 0.000
C 0.000 0.000 0.500
Tl 0.000 0.500 0.000
Ge 0.500 0.500 0.500
Si 0.000 0.000 0.000

formation energy (no corrections)	1.685	eV per atom
DOS at the Fermi energy	2.946	states/eV/f.u.
space-group type	No. 123
size of the total moment	0.0	μB per formula unit

---

# 3
This record from the Alexandria database describes a relaxed Tm4SiGeC crystal. The functional is PBE.

a = 4.604 Å, b = 4.604 Å, c = 8.134 Å
α = 106.44°, β = 106.44°, γ = 90.00°
Fractional coordinates of all 7 atoms:
Si 0.636 0.636 0.273
Ge 0.363 0.363 0.726
Tm 0.001 0.501 0.002
Tm 0.832 0.832 0.665
Tm 0.501 0.001 0.002
Tm 0.167 0.167 0.334
C 0.000 0.000 0.000

formation energy (no corrections)	-0.625	eV per atom
DOS at the Fermi energy	0.976	states/eV/f.u.
space-group type	No. 107
size of the total moment	0.0	μB per formula unit

---

# 4
This record from the Alexandria database describes a relaxed VSiGeC2 crystal. The functional is PBE.

a = 3.803 Å, b = 5.141 Å, c = 3.803 Å
α = 90.00°, β = 90.00°, γ = 90.00°
Site moments in Bohr magnetons follow the coordinates.
Fractional coordinates of all 5 atoms:
V 0.500 0.500 0.500  -1.74
C 0.500 0.000 0.000  0.13
C 0.000 0.000 0.500  0.10
Si 0.000 0.500 0.000  0.08
Ge 0.000 0.000 0.000  0.01

formation energy (no corrections)	2.116	eV per atom
DOS at the Fermi energy	4.321	states/eV/f.u.
space-group type	No. 123
size of the total moment	1.4	μB per formula unit

---

# 5
This record from the Alexandria database describes a relaxed SiGeW2C crystal. The functional is PBE.

a = 4.700 Å, b = 3.480 Å, c = 4.700 Å
α = 90.00°, β = 90.00°, γ = 90.00°
Fractional coordinates of all 5 atoms:
C 0.000 0.500 0.000
W 0.000 0.000 0.500
W 0.500 0.000 0.000
Ge 0.500 0.500 0.500
Si 0.000 0.000 0.000

formation energy (no corrections)	1.504	eV per atom
DOS at the Fermi energy	3.778	states/eV/f.u.
space-group type	No. 123
size of the total moment	0.0	μB per formula unit

---

# 6
This record from the Alexandria database describes a relaxed Y4SiGeC crystal. The functional is PBE.

a = 6.636 Å, b = 6.630 Å, c = 8.282 Å
α = 90.00°, β = 113.62°, γ = 90.00°
Fractional coordinates of all 14 atoms:
C 0.750 0.250 0.501
C 0.250 0.750 0.499
Si 0.886 0.750 0.772
Si 0.114 0.250 0.228
Y 0.919 0.250 0.838
Y 0.500 0.000 0.500
Y 0.081 0.750 0.162
Y 0.418 0.750 0.836
Y 0.500 0.500 0.500
Y 0.000 0.000 0.500
Y 0.000 0.500 0.500
Y 0.582 0.250 0.164
Ge 0.613 0.750 0.225
Ge 0.387 0.250 0.775

formation energy (no corrections)	-0.612	eV per atom
DOS at the Fermi energy	0.640	states/eV/f.u.
space-group type	No. 63
size of the total moment	0.0	μB per formula unit

---

# 7
This record from the Alexandria database describes a relaxed Sm12Ge6C crystal. The functional is PBE.

a = 8.334 Å, b = 8.334 Å, c = 8.334 Å
α = 98.46°, β = 98.46°, γ = 98.46°
Fractional coordinates of all 19 atoms:
Sm 0.968 0.306 0.068
Sm 0.306 0.068 0.968
Sm 0.188 0.429 0.565
Sm 0.429 0.565 0.188
Sm 0.068 0.968 0.306
Sm 0.565 0.188 0.429
Sm 0.571 0.435 0.812
Sm 0.932 0.032 0.694
Sm 0.694 0.932 0.032
Sm 0.435 0.812 0.571
Sm 0.032 0.694 0.932
Sm 0.812 0.571 0.435
Ge 0.877 0.380 0.706
Ge 0.380 0.706 0.877
Ge 0.294 0.123 0.620
Ge 0.706 0.877 0.380
Ge 0.620 0.294 0.123
Ge 0.123 0.620 0.294
C 0.000 0.000 0.000

DOS at the Fermi energy	15.202	states/eV/f.u.
space-group type	No. 148
size of the total moment	0.0	μB per formula unit
formation energy	-0.50	eV/atom

---

# 8
This record from the Alexandria database describes a relaxed Sm12Ge3C5 crystal. The functional is PBE.

a = 13.805 Å, b = 13.805 Å, c = 13.805 Å
α = 109.47°, β = 109.47°, γ = 109.47°
Fractional coordinates of all 80 atoms:
Sm 0.320 0.794 0.414
Sm 0.406 0.380 0.586
Sm 0.594 0.974 0.680
Sm 0.026 0.620 0.706
Sm 0.086 0.180 0.206
Sm 0.974 0.380 0.294
Sm 0.320 0.526 0.406
Sm 0.706 0.120 0.026
Sm 0.206 0.680 0.086
Sm 0.294 0.414 0.820
Sm 0.586 0.706 0.680
Sm 0.620 0.594 0.914
Sm 0.880 0.294 0.474
Sm 0.180 0.094 0.974
Sm 0.680 0.474 0.594
Sm 0.206 0.526 0.620
Sm 0.586 0.880 0.406
Sm 0.380 0.974 0.794
Sm 0.086 0.906 0.380
Sm 0.974 0.594 0.180
Sm 0.914 0.820 0.794
Sm 0.906 0.086 0.880
Sm 0.594 0.620 0.414
Sm 0.820 0.906 0.026
Sm 0.526 0.206 0.120
Sm 0.026 0.406 0.820
Sm 0.094 0.180 0.474
Sm 0.794 0.320 0.914
Sm 0.294 0.880 0.974
Sm 0.474 0.794 0.880
Sm 0.706 0.586 0.180
Sm 0.880 0.586 0.906
Sm 0.680 0.206 0.586
Sm 0.526 0.320 0.906
Sm 0.380 0.406 0.086
Sm 0.180 0.086 0.706
Sm 0.474 0.680 0.094
Sm 0.414 0.120 0.594
Sm 0.914 0.094 0.620
Sm 0.414 0.294 0.320
Sm 0.120 0.706 0.526
Sm 0.120 0.414 0.094
Sm 0.794 0.474 0.380
Sm 0.620 0.026 0.206
Sm 0.906 0.820 0.526
Sm 0.406 0.026 0.320
Sm 0.094 0.914 0.120
Sm 0.820 0.914 0.294
Ge 0.250 0.125 0.375
Ge 0.750 0.375 0.125
Ge 0.625 0.375 0.750
Ge 0.375 0.625 0.250
Ge 0.750 0.875 0.625
Ge 0.875 0.750 0.125
Ge 0.375 0.750 0.625
Ge 0.125 0.250 0.875
Ge 0.875 0.125 0.250
Ge 0.250 0.625 0.875
Ge 0.625 0.250 0.375
Ge 0.125 0.875 0.750
C 0.625 0.875 0.250
C 0.250 0.375 0.625
C 0.250 0.875 0.125
C 0.625 0.750 0.875
C 0.750 0.625 0.375
C 0.000 0.000 0.000
C 0.875 0.625 0.750
C 0.000 0.000 0.500
C 0.125 0.750 0.375
C 0.500 0.500 0.000
C 0.875 0.250 0.625
C 0.375 0.125 0.750
C 0.500 0.500 0.500
C 0.000 0.500 0.000
C 0.500 0.000 0.500
C 0.125 0.375 0.250
C 0.000 0.500 0.500
C 0.750 0.125 0.875
C 0.375 0.250 0.125
C 0.500 0.000 0.000

DOS at the Fermi energy	11.934	states/eV/f.u.
space-group type	No. 230
size of the total moment	0.0	μB per formula unit
formation energy	-0.27	eV/atom

---

# 9
This record from the Alexandria database describes a relaxed Sm4Ge2C crystal. The functional is PBE.

a = 4.831 Å, b = 4.831 Å, c = 8.509 Å
α = 106.49°, β = 106.49°, γ = 90.00°
Fractional coordinates of all 7 atoms:
C 0.000 0.000 0.000
Ge 0.636 0.636 0.272
Ge 0.364 0.364 0.728
Sm 0.000 0.500 0.000
Sm 0.830 0.830 0.661
Sm 0.500 0.000 0.000
Sm 0.170 0.170 0.339

excess energy over the best structure of this formula in the dataset	21	meV per atom
DOS at the Fermi energy	1.164	states/eV/f.u.
space-group type	No. 139
size of the total moment	0.0	μB per formula unit
formation energy	-0.53	eV/atom

---

# 10
This record from the Alexandria database describes a relaxed Sm4Ge2C crystal. The functional is PBE.

a = 6.726 Å, b = 7.228 Å, c = 8.197 Å
α = 90.00°, β = 114.22°, γ = 90.00°
Fractional coordinates of all 14 atoms:
C 0.500 0.500 0.000
C 0.000 0.000 0.000
Sm 0.230 0.250 0.959
Sm 0.770 0.750 0.041
Sm 0.172 0.068 0.343
Sm 0.828 0.932 0.657
Sm 0.270 0.750 0.041
Sm 0.328 0.568 0.657
Sm 0.672 0.432 0.343
Sm 0.730 0.250 0.959
Ge 0.866 0.533 0.733
Ge 0.366 0.967 0.733
Ge 0.134 0.467 0.267
Ge 0.634 0.033 0.267

excess energy over the best structure of this formula in the dataset	0	meV per atom
DOS at the Fermi energy	1.171	states/eV/f.u.
space-group type	No. 64
size of the total moment	0.0	μB per formula unit
formation energy	-0.55	eV/atom

---

# 11
This record from the Alexandria database describes a relaxed Sm4Ge2C crystal. The functional is PBE.

a = 4.122 Å, b = 7.430 Å, c = 11.899 Å
α = 90.00°, β = 90.00°, γ = 90.00°
Fractional coordinates of all 14 atoms:
Ge 0.500 0.910 0.819
Ge 0.500 0.410 0.681
Ge 0.500 0.590 0.319
Ge 0.500 0.090 0.181
C 0.000 0.500 0.000
C 0.000 0.000 0.500
Sm 0.000 0.621 0.804
Sm 0.000 0.121 0.696
Sm 0.500 0.221 0.450
Sm 0.000 0.879 0.304
Sm 0.500 0.279 0.950
Sm 0.000 0.379 0.196
Sm 0.500 0.721 0.050
Sm 0.500 0.779 0.550

excess energy over the best structure of this formula in the dataset	66	meV per atom
DOS at the Fermi energy	3.051	states/eV/f.u.
space-group type	No. 55
size of the total moment	0.0	μB per formula unit
formation energy	-0.49	eV/atom

---

# 12
This record from the Alexandria database describes a relaxed Sm4GeC crystal. The functional is PBE.

a = 6.000 Å, b = 7.456 Å, c = 9.591 Å
α = 90.00°, β = 90.00°, γ = 128.44°
Fractional coordinates of all 12 atoms:
Sm 0.000 0.738 0.457
Sm 0.000 0.738 0.043
Sm 0.413 0.292 0.250
Sm 0.587 0.708 0.750
Sm 0.413 0.122 0.750
Sm 0.000 0.262 0.957
Sm 0.587 0.878 0.250
Sm 0.000 0.262 0.543
C 0.000 0.909 0.250
C 0.000 0.091 0.750
Ge 0.000 0.418 0.250
Ge 0.000 0.582 0.750

DOS at the Fermi energy	2.573	states/eV/f.u.
space-group type	No. 63
size of the total moment	0.0	μB per formula unit
formation energy	-0.25	eV/atom

---

# 13
This record from the Alexandria database describes a relaxed Sm2GeC crystal. The functional is PBE.

a = 4.428 Å, b = 4.428 Å, c = 8.085 Å
α = 74.11°, β = 74.11°, γ = 60.00°
Site moments in Bohr magnetons follow the coordinates.
Fractional coordinates of all 4 atoms:
Sm 0.901 0.901 0.298  0.11
Sm 0.099 0.099 0.702  0.11
C 0.000 0.000 0.000  0.65
Ge 0.500 0.500 0.500  0.05

DOS at the Fermi energy	4.388	states/eV/f.u.
space-group type	No. 166
size of the total moment	1.7	μB per formula unit
formation energy	0.66	eV/atom

---

# 14
This record from the Alexandria database describes a relaxed Sm4SnGeC crystal. The functional is PBE.

a = 6.898 Å, b = 6.901 Å, c = 8.703 Å
α = 90.00°, β = 113.35°, γ = 90.00°
Fractional coordinates of all 14 atoms:
Sm 0.412 0.750 0.823
Sm 0.500 0.000 0.500
Sm 0.919 0.250 0.838
Sm 0.000 0.500 0.500
Sm 0.081 0.750 0.162
Sm 0.500 0.500 0.500
Sm 0.588 0.250 0.177
Sm 0.000 0.000 0.500
C 0.248 0.750 0.497
C 0.752 0.250 0.503
Sn 0.610 0.750 0.219
Sn 0.390 0.250 0.781
Ge 0.115 0.250 0.230
Ge 0.885 0.750 0.770

DOS at the Fermi energy	0.733	states/eV/f.u.
space-group type	No. 63
size of the total moment	0.0	μB per formula unit
formation energy	-0.55	eV/atom

---

# 15
This record from the Alexandria database describes a relaxed TbSm3Ge2C crystal. The functional is PBE.

a = 4.755 Å, b = 4.816 Å, c = 8.493 Å
α = 106.47°, β = 106.26°, γ = 90.00°
Fractional coordinates of all 7 atoms:
Tb 0.500 0.000 0.000
Ge 0.636 0.636 0.271
Ge 0.364 0.364 0.729
Sm 0.000 0.500 0.000
Sm 0.831 0.831 0.662
Sm 0.169 0.169 0.338
C 0.000 0.000 0.000

DOS at the Fermi energy	1.065	states/eV/f.u.
space-group type	No. 71
size of the total moment	0.0	μB per formula unit
formation energy	-0.58	eV/atom

---

# 16
This record from the Alexandria database describes a relaxed SmTc2Ge2C crystal. The functional is PBE.

a = 4.191 Å, b = 4.191 Å, c = 5.484 Å
α = 90.00°, β = 90.00°, γ = 90.00°
Fractional coordinates of all 6 atoms:
Tc 0.000 0.500 0.000
Tc 0.500 0.000 0.000
Ge 0.500 0.500 0.278
Ge 0.500 0.500 0.722
Sm 0.000 0.000 0.500
C 0.000 0.000 0.000

DOS at the Fermi energy	5.210	states/eV/f.u.
space-group type	No. 123
size of the total moment	0.0	μB per formula unit
formation energy	-0.37	eV/atom

---

# 17
This record from the Alexandria database describes a relaxed Sm2YGeC crystal. The functional is PBE.

a = 3.712 Å, b = 8.703 Å, c = 7.588 Å
α = 90.00°, β = 90.00°, γ = 102.31°
Fractional coordinates of all 10 atoms:
Ge 0.698 0.396 0.750
Ge 0.302 0.604 0.250
Sm 0.146 0.292 0.475
Sm 0.854 0.708 0.525
Sm 0.146 0.292 0.025
Sm 0.854 0.708 0.975
Y 0.510 0.019 0.750
Y 0.490 0.981 0.250
C 0.000 0.000 0.000
C 0.000 0.000 0.500

DOS at the Fermi energy	3.882	states/eV/f.u.
space-group type	No. 63
size of the total moment	0.0	μB per formula unit
formation energy	-0.32	eV/atom

---

# 18
This record from the Alexandria database describes a relaxed Sm3YGe2C crystal. The functional is PBE.

a = 4.733 Å, b = 4.817 Å, c = 8.494 Å
α = 106.47°, β = 106.18°, γ = 90.00°
Fractional coordinates of all 7 atoms:
Sm 0.169 0.169 0.337
Sm 0.000 0.500 0.000
Sm 0.831 0.831 0.663
Y 0.500 0.000 0.000
C 0.000 0.000 0.000
Ge 0.636 0.636 0.272
Ge 0.364 0.364 0.728

DOS at the Fermi energy	0.944	states/eV/f.u.
space-group type	No. 71
size of the total moment	0.0	μB per formula unit
formation energy	-0.59	eV/atom

---

# 19
This record from the Alexandria database describes a relaxed Sm2Zr2Ge2C crystal. The functional is PBE.

a = 4.452 Å, b = 4.452 Å, c = 8.429 Å
α = 105.31°, β = 105.31°, γ = 90.00°
Site moments in Bohr magnetons follow the coordinates.
Fractional coordinates of all 7 atoms:
Zr 0.000 0.500 0.000  0.16
Zr 0.500 0.000 0.000  0.16
Sm 0.832 0.832 0.664  0.13
Sm 0.168 0.168 0.336  0.13
Ge 0.629 0.629 0.259  -0.02
Ge 0.371 0.371 0.741  -0.02
C 0.000 0.000 0.000  -0.02

DOS at the Fermi energy	5.535	states/eV/f.u.
space-group type	No. 139
size of the total moment	1.0	μB per formula unit
formation energy	-0.74	eV/atom

---

# 20
This record from the Alexandria database describes a relaxed SnGe2C crystal. The functional is PBE.

a = 5.503 Å, b = 5.503 Å, c = 6.418 Å
α = 64.61°, β = 64.61°, γ = 90.00°
Fractional coordinates of all 8 atoms:
Sn 0.000 0.000 0.000
Sn 0.750 0.250 0.500
Ge 0.535 0.125 0.250
Ge 0.215 0.625 0.250
Ge 0.375 0.465 0.750
Ge 0.875 0.785 0.750
C 0.250 0.750 0.500
C 0.500 0.500 0.000

excess energy over the best structure of this formula in the dataset	0	meV per atom
DOS at the Fermi energy	0.000	states/eV/f.u.
space-group type	No. 122
size of the total moment	0.0	μB per formula unit
formation energy	0.53	eV/atom